Entry 1:
## Si2IrPt (GGA-PBE)

Data for a geometry-optimized Si2IrPt structure.

ΔE_f (raw) = -0.11 eV/atom
Magnetization = 0.00 Bohr magnetons per cell
Space-group type = Cmmm, No. 65

Unit cell a=2.9665 b=2.9665 c=8.1516 alpha=90.00 beta=90.00 gamma=123.35
Closest atoms and distances in Å follow each position.
Positions (direct):
Ir 0.5000 0.5000 0.2500  4 Si 2.44
Pt 0.5000 0.5000 0.7500  4 Si 2.51
Si 0.0000 0.0000 0.0053  2 Ir 2.44, 2 Pt 2.51
Si 0.0000 0.0000 0.4947  2 Ir 2.44, 2 Pt 2.51

---

Entry 2:
## SiIr2Pt (GGA-PBE)

Data for a geometry-optimized SiIr2Pt structure.

ΔE_f (raw) = 0.04 eV/atom
Magnetization = 0.00 Bohr magnetons per cell
Space-group type = Cmm2, No. 35

Unit cell a=2.8119 b=2.8119 c=8.6750 alpha=90.00 beta=90.00 gamma=120.15
Closest atoms and distances in Å follow each position.
Positions (direct):
Ir 0.0000 0.0000 0.9732  2 Si 2.37
Ir 0.5000 0.5000 0.2469  8 Ir 2.76-2.81, 2 Pt 2.81
Si 0.5000 0.5000 0.7528  2 Ir 2.37, 2 Pt 2.41
Pt 0.0000 0.0000 0.5271  2 Si 2.41